Entry 1:
The following is a DFT calculation (PBE) of Cu7Pt3 after structural relaxation.

The calculation puts the energy above the most stable polymorph in this dataset at 80 meV per atom.

The space group is Pmm2 (No. 25) and the conventional cell measures 2.6908, 3.6695 and 13.4087 Å, with angles of 90.00, 90.00 and 90.00 degrees. The distinct sites, in fractional coordinates, are Cu at (0.0000, 0.0000, 0.0000), Cu at (0.0000, 0.0000, 0.1874), Cu at (0.0000, 0.0000, 0.3763), Cu at (0.5000, 0.5000, 0.0943), Cu at (0.5000, 0.5000, 0.2813), Cu at (0.5000, 0.5000, 0.6986), Cu at (0.5000, 0.5000, 0.9057), Pt at (0.0000, 0.0000, 0.5950), Pt at (0.0000, 0.0000, 0.8040) and Pt at (0.5000, 0.5000, 0.4765).


Entry 2:
The following is a DFT calculation (PBE) of Cu5Pt3 after structural relaxation.

The calculation puts the energy above the most stable polymorph in this dataset at 0 meV per atom.

The space group is Cmmm (No. 65) and the conventional cell measures 7.3894, 7.6508 and 3.8086 Å, with angles of 90.00, 90.00 and 90.00 degrees. The distinct sites, in fractional coordinates, are Cu at (0.0000, 0.0000, 0.0000), Cu at (0.2503, 0.0000, 0.5000), Cu at (0.2500, 0.2500, 0.0000), Pt at (0.0000, 0.2407, 0.5000) and Pt at (0.0000, 0.5000, 0.0000).


Entry 3:
The following is a DFT calculation (PBE) of Cu4Pt5 after structural relaxation.

The calculation puts the energy above the most stable polymorph in this dataset at 0 meV per atom.

The space group is I4/mmm (No. 139) and the conventional cell measures 8.1239, 8.1239 and 3.8817 Å, with angles of 90.00, 90.00 and 90.00 degrees. The distinct sites, in fractional coordinates, are Cu at (0.0000, 0.3396, 0.0000), Pt at (0.0000, 0.0000, 0.0000) and Pt at (0.1700, 0.1700, 0.5000).


Entry 4:
The following is a DFT calculation (PBE) of Cu8Pt3 after structural relaxation.

The calculation puts the energy above the most stable polymorph in this dataset at 0 meV per atom.

The space group is C2/m (No. 12) and the conventional cell measures 8.2979, 3.7523 and 9.5857 Å, with angles of 90.00, 105.58 and 90.00 degrees. The distinct sites, in fractional coordinates, are Cu at (0.0463, 0.0000, 0.3193), Cu at (0.1379, 0.0000, 0.9550), Cu at (0.1813, 0.5000, 0.7713), Cu at (0.2264, 0.0000, 0.5897), Pt at (0.0000, 0.5000, 0.5000) and Pt at (0.0932, 0.5000, 0.1409).


Entry 5:
The following is a DFT calculation (PBE) of CuPt2 after structural relaxation.

The space group is Cmcm (No. 63) and the conventional cell measures 2.7498, 14.0580 and 4.5556 Å, with angles of 90.00, 90.00 and 90.00 degrees. The distinct sites, in fractional coordinates, are Cu at (0.0000, 0.2221, 0.2500), Pt at (0.0000, 0.1195, 0.7500) and Pt at (0.0000, 0.4412, 0.7500).


Entry 6:
The following is a DFT calculation (PBE) of Cu4Pt3 after structural relaxation.

The calculation puts the energy above the most stable polymorph in this dataset at 256 meV per atom.

The space group is P6/mmm (No. 191) and the conventional cell measures 5.1984, 5.1984 and 4.5402 Å, with angles of 90.00, 90.00 and 120.00 degrees. The distinct sites, in fractional coordinates, are Cu at (0.0000, 0.0000, 0.2475), Cu at (0.3333, 0.6667, 0.5000) and Pt at (0.0000, 0.5000, 0.0000).


Entry 7:
The following is a DFT calculation (PBE) of Cu3Pt5 after structural relaxation.

The calculation puts the energy above the most stable polymorph in this dataset at 12 meV per atom.

The space group is Cmmm (No. 65) and the conventional cell measures 7.6207, 7.9054 and 3.8306 Å, with angles of 90.00, 90.00 and 90.00 degrees. The distinct sites, in fractional coordinates, are Cu at (0.0000, 0.0000, 0.0000), Cu at (0.0000, 0.2492, 0.5000), Pt at (0.0000, 0.5000, 0.0000), Pt at (0.2438, 0.0000, 0.5000) and Pt at (0.2500, 0.2500, 0.0000).


Entry 8:
The following is a DFT calculation (PBE) of Cu5Pt7 after structural relaxation.

The calculation puts the energy above the most stable polymorph in this dataset at 15 meV per atom.

The space group is Pmmm (No. 47) and the conventional cell measures 2.7383, 7.7281 and 8.1384 Å, with angles of 90.00, 90.00 and 90.00 degrees. The distinct sites, in fractional coordinates, are Cu at (0.0000, 0.0000, 0.0000), Cu at (0.0000, 0.5000, 0.3450), Cu at (0.5000, 0.2582, 0.5000), Pt at (0.0000, 0.0000, 0.3356), Pt at (0.0000, 0.5000, 0.0000) and Pt at (0.5000, 0.2540, 0.1745).


Result set for formation energy: -1.53 -3.26 -2.56 -3.07 -1.63 3.23 -2.68 -2.72 kcal/mol of atoms, one per record in the order listed.
Result set for DFT total energy: -4.746 -4.967 -5.288 -4.760 -5.463 -4.790 -5.428 -5.349 eV per atom, one per record in the order listed.
Result set for spin magnetization: 0.0000 0.0000 0.0000 0.0000 0.0000 0.0000 0.0000 0.0000 μB/atom, one per record in the order listed.